Record 1
A relaxed PdW crystal, computed with PBE.

Output
- D(E_F): 10.89 states/eV/cell
- Magnetization: 0.0 μB per cell
- Calculated formation energy: 0.09 eV per atom

a b c (Å): 9.568 4.507 5.738
angles (deg): 90.00 90.00 90.00
Space group Pnma (No. 62)
Symmetry-distinct sites (fractional):
Pd (0.088, 0.250, 0.242) (multiplicity 4)
Pd (0.163, 0.750, 0.998) (multiplicity 4)
W (0.086, 0.250, 0.749) (multiplicity 4)
W (0.158, 0.750, 0.494) (multiplicity 4)



Record 2
A relaxed PdW crystal, computed with PBE.

Output
- D(E_F): 6.48 states/eV/cell
- Magnetization: 0.0 μB per cell
- Calculated formation energy: 1.51 eV per atom

a b c (Å): 4.3709 4.3709 5.1418
angles (deg): 90.00 90.00 120.00
Space group P6_3/mmc (No. 194)
Symmetry-distinct sites (fractional):
Pd (0.3333, 0.6667, 0.2500) (multiplicity 2)
W (0.3333, 0.6667, 0.7500) (multiplicity 2)



Record 3
A relaxed PdW crystal, computed with PBE.

Output
- D(E_F): 17.86 states/eV/cell
- Magnetization: 0.0 μB per cell
- Calculated formation energy: 1.51 eV per atom

a b c (Å): 7.869 7.869 7.869
angles (deg): 90.00 90.00 90.00
Space group I-43m (No. 217)
Symmetry-distinct sites (fractional):
Pd (0.199, 0.199, 0.199) (multiplicity 8)
W (0.117, 0.117, 0.883) (multiplicity 8)



Record 4
A relaxed Pd5W crystal, computed with PBE.

Output
- D(E_F): 7.55 states/eV/cell
- Magnetization: 0.0 μB per cell
- Calculated formation energy: -0.08 eV per atom

a b c (Å): 3.952 11.749 3.963
angles (deg): 90.00 90.00 90.00
Space group Cmmm (No. 65)
Symmetry-distinct sites (fractional):
Pd (0.000, 0.000, 0.000) (multiplicity 2)
Pd (0.000, 0.158, 0.500) (multiplicity 4)
Pd (0.000, 0.338, 0.000) (multiplicity 4)
W (0.000, 0.500, 0.500) (multiplicity 2)



Record 5
A relaxed PdW3 crystal, computed with PBE.

Output
- D(E_F): 2.89 states/eV/cell
- Magnetization: 0.0 μB per cell
- Calculated formation energy: 0.25 eV per atom

a b c (Å): 2.687 4.664 5.099
angles (deg): 90.00 90.00 90.00
Space group Pmm2 (No. 25)
Symmetry-distinct sites (fractional):
Pd (0.000, 0.000, 0.000) (multiplicity 1)
W (0.000, 0.500, 0.323) (multiplicity 1)
W (0.500, 0.000, 0.517) (multiplicity 1)
W (0.500, 0.500, 0.822) (multiplicity 1)



Record 6
A relaxed PdW crystal, computed with PBE.

Output
- D(E_F): 18.88 states/eV/cell
- Magnetization: 0.0 μB per cell
- Calculated formation energy: 1.79 eV per atom

a b c (Å): 5.691 5.691 5.691
angles (deg): 90.00 90.00 90.00
Space group F-43m (No. 216)
Symmetry-distinct sites (fractional):
Pd (0.000, 0.000, 0.000) (multiplicity 4)
W (0.250, 0.250, 0.750) (multiplicity 4)



Record 7
A relaxed PdW crystal, computed with PBE.

Output
- D(E_F): 10.05 states/eV/cell
- Magnetization: 0.0 μB per cell
- Calculated formation energy: 0.94 eV per atom

a b c (Å): 5.181 5.181 5.252
angles (deg): 90.00 90.00 90.00
Space group P4_2/mnm (No. 136)
Symmetry-distinct sites (fractional):
Pd (0.181, 0.181, 0.000) (multiplicity 4)
W (0.169, 0.169, 0.500) (multiplicity 4)



Record 8
A relaxed YPdW3 crystal, computed with PBE.

Output
- D(E_F): 4.65 states/eV/cell
- Magnetization: 0.0 μB per cell
- Distance to the lowest polymorph of the same formula: 1243.5 meV per atom
- Calculated formation energy: 3.04 eV per atom

a b c (Å): 4.761 4.761 4.761
angles (deg): 90.00 90.00 90.00
Space group Pm-3m (No. 221)
Symmetry-distinct sites (fractional):
Y (0.000, 0.000, 0.000) (multiplicity 1)
Pd (0.500, 0.500, 0.500) (multiplicity 1)
W (0.000, 0.000, 0.500) (multiplicity 3)



Record 9
A relaxed Y2PdW crystal, computed with PBE.

Output
- D(E_F): 16.30 states/eV/cell
- Magnetization: 0.0 μB per cell
- Distance to the lowest polymorph of the same formula: 651.4 meV per atom
- Calculated formation energy: 0.79 eV per atom

a b c (Å): 4.361 4.361 19.411
angles (deg): 90.00 90.00 90.00
Space group I-42d (No. 122)
Symmetry-distinct sites (fractional):
Y (0.249, 0.250, 0.125) (multiplicity 8)
Pd (0.000, 0.000, 0.000) (multiplicity 4)
W (0.000, 0.000, 0.500) (multiplicity 4)



Record 10
A relaxed Y2PdW crystal, computed with PBE.

Output
- D(E_F): 31.92 states/eV/cell
- Magnetization: 6.1 μB per cell
- Distance to the lowest polymorph of the same formula: 0.0 meV per atom
- Calculated formation energy: 0.14 eV per atom

a b c (Å): 7.046 7.046 7.046
angles (deg): 90.00 90.00 90.00
Space group Fm-3m (No. 225)
Symmetry-distinct sites (fractional):
Y (0.250, 0.250, 0.250) (multiplicity 8)
Pd (0.000, 0.000, 0.000) (multiplicity 4)
W (0.000, 0.000, 0.500) (multiplicity 4)



Record 11
A relaxed YPd2W crystal, computed with PBE.

Output
- D(E_F): 19.50 states/eV/cell
- Magnetization: 6.4 μB per cell
- Distance to the lowest polymorph of the same formula: 0.0 meV per atom
- Calculated formation energy: 0.06 eV per atom

a b c (Å): 6.670 6.670 6.670
angles (deg): 90.00 90.00 90.00
Space group Fm-3m (No. 225)
Symmetry-distinct sites (fractional):
Y (0.000, 0.000, 0.000) (multiplicity 4)
Pd (0.250, 0.250, 0.250) (multiplicity 8)
W (0.000, 0.000, 0.500) (multiplicity 4)



Record 12
A relaxed YPd2W crystal, computed with PBE.

Output
- D(E_F): 14.43 states/eV/cell
- Magnetization: 0.0 μB per cell
- Distance to the lowest polymorph of the same formula: 370.3 meV per atom
- Calculated formation energy: 0.43 eV per atom

a b c (Å): 4.208 4.208 18.289
angles (deg): 90.00 90.00 90.00
Space group I-42d (No. 122)
Symmetry-distinct sites (fractional):
Y (0.000, 0.000, 0.000) (multiplicity 4)
Pd (0.216, 0.250, 0.625) (multiplicity 8)
W (0.000, 0.000, 0.500) (multiplicity 4)



What is the calculated formation energy in the twelfth record?
0.43 eV per atom



Which value of D(E_F) does entry 11 give?
19.50 states/eV/cell



Which of these has the lowest calculated formation energy?
Pd5W